[1]
Material: TbNd3Ge2C
Method: DFT, PBE-GGA
State: optimized geometry

a b c (Å): 4.781 4.884 8.604
angles (deg): 106.49 106.13 90.00
Sites, in units of the cell vectors:
C: 0.000 0.000 0.000
Ge: 0.365 0.365 0.730
Ge: 0.635 0.635 0.270
Nd: 0.169 0.169 0.339
Nd: 0.831 0.831 0.661
Nd: 0.000 0.500 0.000
Tb: 0.500 0.000 0.000

---

[2]
Material: Cs2BeF4
Method: DFT, PBE-GGA
State: optimized geometry

a b c (Å): 6.238 8.281 10.905
angles (deg): 90.00 90.00 90.00
Site moments in Bohr magnetons follow the coordinates.
Sites, in units of the cell vectors:
Be: 0.744 0.742 0.918  0.00
Be: 0.244 0.758 0.418  0.00
Be: 0.244 0.258 0.082  0.00
Be: 0.744 0.242 0.582  0.00
F: 0.744 0.805 0.055  0.02
F: 0.951 0.308 0.648  0.04
F: 0.451 0.192 0.148  0.04
F: 0.244 0.447 0.088  0.05
F: 0.244 0.947 0.412  0.05
F: 0.038 0.191 0.148  0.04
F: 0.038 0.691 0.352  0.04
F: 0.244 0.195 0.945  0.02
F: 0.744 0.553 0.912  0.05
F: 0.538 0.809 0.852  0.04
F: 0.744 0.053 0.588  0.05
F: 0.244 0.695 0.555  0.02
F: 0.451 0.692 0.352  0.04
F: 0.951 0.808 0.852  0.04
F: 0.744 0.305 0.445  0.02
F: 0.538 0.309 0.648  0.04
Cs: 0.244 0.337 0.407  0.00
Cs: 0.744 0.488 0.190  0.00
Cs: 0.244 0.512 0.810  0.00
Cs: 0.244 0.012 0.690  0.00
Cs: 0.744 0.663 0.593  0.00
Cs: 0.744 0.988 0.310  0.00
Cs: 0.744 0.163 0.907  0.00
Cs: 0.244 0.837 0.093  0.00

Computed properties:
Energy above the most stable polymorph in this dataset, meV per atom: 0
Formation energy without anion corrections, eV/atom: -3.075

---

[3]
Material: Cs2SmRe3O12
Method: DFT, PBE-GGA
State: optimized geometry

a b c (Å): 7.733 7.733 7.733
angles (deg): 57.42 57.42 57.42
Site moments in Bohr magnetons follow the coordinates.
Sites, in units of the cell vectors:
O: 0.301 0.301 0.929  0.04
O: 0.929 0.301 0.301  0.04
O: 0.699 0.071 0.699  0.04
O: 0.927 0.927 0.361  -0.01
O: 0.639 0.073 0.073  -0.01
O: 0.073 0.073 0.639  -0.01
O: 0.927 0.361 0.927  -0.01
O: 0.301 0.929 0.301  0.04
O: 0.699 0.699 0.071  0.04
O: 0.073 0.639 0.073  -0.01
O: 0.071 0.699 0.699  0.04
O: 0.361 0.927 0.927  -0.01
Re: 0.500 0.000 0.000  0.21
Re: 0.000 0.000 0.500  0.21
Re: 0.000 0.500 0.000  0.21
Cs: 0.614 0.614 0.614  0.00
Cs: 0.386 0.386 0.386  0.00
Sm: 0.000 0.000 0.000  0.00

Computed properties:
Formation energy without anion corrections, eV/atom: -1.931

---

[4]
Material: K3SO
Method: DFT, PBE-GGA
State: optimized geometry

a b c (Å): 5.177 5.177 5.177
angles (deg): 90.00 90.00 90.00
Site moments in Bohr magnetons follow the coordinates.
Sites, in units of the cell vectors:
K: 0.500 0.000 0.000  0.00
K: 0.000 0.500 0.000  0.00
K: 0.000 0.000 0.500  0.00
O: 0.000 0.000 0.000  -0.01
S: 0.500 0.500 0.500  0.24

Computed properties:
Energy above the most stable polymorph in this dataset, meV per atom: 0
Formation energy without anion corrections, eV/atom: -0.877

---

[5]
Material: ZnTe2Au
Method: DFT, PBE-GGA
State: optimized geometry

a b c (Å): 5.425 5.425 3.175
angles (deg): 90.00 90.00 89.97
Sites, in units of the cell vectors:
Te: 0.000 0.000 0.000
Te: 0.500 0.500 0.000
Au: 0.000 0.500 0.500
Zn: 0.500 0.000 0.500

Computed properties:
Formation energy without anion corrections, eV/atom: 0.244

---

[6]
Material: LaTb2Ho
Method: DFT, PBE-GGA
State: optimized geometry

a b c (Å): 3.628 11.695 6.228
angles (deg): 90.00 90.00 90.00
Sites, in units of the cell vectors:
Ho: 0.250 0.250 0.580
Ho: 0.750 0.750 0.420
Tb: 0.750 0.496 0.748
Tb: 0.750 0.004 0.748
Tb: 0.250 0.996 0.252
Tb: 0.250 0.504 0.252
La: 0.250 0.750 0.915
La: 0.750 0.250 0.085

Computed properties:
Energy above the most stable polymorph in this dataset, meV per atom: 13

---

[7]
Material: K3SbTe
Method: DFT, PBE-GGA
State: optimized geometry

a b c (Å): 6.595 6.595 6.595
angles (deg): 90.00 90.00 90.00
Site moments in Bohr magnetons follow the coordinates.
Sites, in units of the cell vectors:
K: 0.000 0.000 0.500  0.00
K: 0.000 0.500 0.000  0.00
K: 0.500 0.000 0.000  0.01
Te: 0.000 0.000 0.000  0.05
Sb: 0.500 0.500 0.500  0.62

Computed properties:
Energy above the most stable polymorph in this dataset, meV per atom: 323
Formation energy without anion corrections, eV/atom: -0.335

---

[8]
Material: PmNbGe2O8
Method: DFT, PBE-GGA
State: optimized geometry

a b c (Å): 5.850 5.850 5.850
angles (deg): 106.81 106.81 114.93
Sites, in units of the cell vectors:
O: 0.878 0.706 0.172
O: 0.929 0.627 0.699
O: 0.373 0.071 0.301
O: 0.770 0.071 0.699
O: 0.294 0.122 0.828
O: 0.929 0.230 0.301
O: 0.294 0.465 0.172
O: 0.535 0.706 0.828
Pm: 0.250 0.750 0.500
Ge: 0.500 0.500 0.000
Ge: 0.750 0.250 0.500
Nb: 0.000 0.000 0.000

Computed properties:
Formation energy without anion corrections, eV/atom: -2.223

---

[9]
Material: CeTaTi
Method: DFT, PBE-GGA
State: optimized geometry

a b c (Å): 4.692 4.713 24.361
angles (deg): 133.14 155.31 65.30
Sites, in units of the cell vectors:
Ta: 0.548 0.690 0.929
Ta: 0.452 0.310 0.071
Ti: 0.361 0.927 0.217
Ti: 0.639 0.073 0.783
Ce: 0.535 0.352 0.589
Ce: 0.465 0.648 0.411

---

[10]
Material: Tb2YNpN4
Method: DFT, PBE-GGA
State: optimized geometry

a b c (Å): 3.477 5.998 6.000
angles (deg): 108.98 90.00 90.00
Site moments in Bohr magnetons follow the coordinates.
Sites, in units of the cell vectors:
Tb: 0.500 0.000 0.500  0.10
Tb: 0.000 0.500 0.500  0.06
N: 0.500 0.261 0.238  -0.06
N: 0.500 0.739 0.762  -0.06
N: 0.000 0.741 0.240  -0.09
N: 0.000 0.259 0.760  -0.09
Np: 0.500 0.500 0.000  2.92
Y: 0.000 0.000 0.000  0.04

Computed properties:
Formation energy without anion corrections, eV/atom: -1.535

---

[11]
Material: Cs2MgCuBr6
Method: DFT, PBE-GGA
State: optimized geometry

a b c (Å): 7.678 7.678 13.487
angles (deg): 73.46 73.46 60.00
Site moments in Bohr magnetons follow the coordinates.
Sites, in units of the cell vectors:
Cs: 0.877 0.877 0.369  0.00
Cs: 0.706 0.706 0.882  0.00
Cs: 0.294 0.294 0.118  0.00
Cs: 0.123 0.123 0.631  0.00
Br: 0.712 0.205 0.878  0.05
Br: 0.853 0.385 0.377  0.10
Br: 0.615 0.615 0.623  0.10
Br: 0.795 0.795 0.122  0.05
Br: 0.288 0.795 0.122  0.05
Br: 0.205 0.712 0.878  0.05
Br: 0.795 0.288 0.122  0.05
Br: 0.205 0.205 0.878  0.05
Br: 0.385 0.853 0.377  0.10
Br: 0.615 0.147 0.623  0.10
Br: 0.147 0.615 0.623  0.10
Br: 0.385 0.385 0.377  0.10
Mg: 0.587 0.587 0.240  0.00
Mg: 0.413 0.413 0.760  0.00
Cu: 0.000 0.000 0.000  0.39
Cu: 0.500 0.500 0.500  0.52

Computed properties:
Energy above the most stable polymorph in this dataset, meV per atom: 0
Formation energy without anion corrections, eV/atom: -1.228

---

[12]
Material: Cs2Na2Pb
Method: DFT, PBE-GGA
State: optimized geometry

a b c (Å): 7.674 7.674 9.512
angles (deg): 90.00 90.00 107.19
Sites, in units of the cell vectors:
Pb: 0.321 0.321 0.750
Pb: 0.679 0.679 0.250
Na: 0.644 0.644 0.583
Na: 0.356 0.356 0.417
Na: 0.356 0.356 0.083
Na: 0.644 0.644 0.917
Cs: 0.198 0.802 0.000
Cs: 0.198 0.802 0.500
Cs: 0.802 0.198 0.500
Cs: 0.802 0.198 0.000

Computed properties:
Energy above the most stable polymorph in this dataset, meV per atom: 41

---

V / A^3/atom: 26.341 20.117 17.086 27.749 23.358 33.033 57.359 12.752 20.387 14.788 32.514 53.512
E / eV/atom: -5.885 -4.920 -7.668 -3.352 -2.464 -4.670 -2.447 -7.533 -8.369 -9.281 -2.971 -1.639